(1)
Material: Sr8Mn2FeN8
Method: DFT, PBEsol
State: optimized geometry

- mass density (g/cm3) = 4.67
- energy relative to the elements, uncorrected (meV/atom) = -785
- space-group type = C2/m (12)

Lattice parameters (Å, degrees): 5.2575 7.4222 9.6392 105.13 105.83 90.00
Site moments in Bohr magnetons follow the coordinates.
Element x y z (fractional)
1 N 0.1784 0.4277 0.3567  0.00
2 N 0.8216 0.5723 0.6433  0.00
3 N 0.7249 0.8309 0.4498  0.01
4 N 0.4747 0.7190 0.9495  0.10
5 N 0.5253 0.2810 0.0505  0.10
6 N 0.8922 0.9837 0.7844  0.02
7 N 0.2751 0.1691 0.5502  0.01
8 N 0.1078 0.0163 0.2156  0.02
9 Sr 0.1997 0.8047 0.3994  0.01
10 Sr 0.6661 0.4683 0.3321  0.01
11 Sr 0.5960 0.9677 0.1920  0.03
12 Sr 0.9720 0.7371 0.9441  0.00
13 Sr 0.4040 0.0323 0.8080  0.03
14 Sr 0.0280 0.2629 0.0559  0.00
15 Sr 0.8003 0.1953 0.6006  0.01
16 Sr 0.3339 0.5317 0.6679  0.01
17 Fe 0.5000 0.5000 0.0000  2.42
18 Mn 0.8126 0.7942 0.6253  1.07
19 Mn 0.1874 0.2058 0.3747  1.07

***

(2)
Material: Na2MnFe
Method: DFT, PBEsol
State: optimized geometry

- mass density (g/cm3) = 3.32
- space-group type = Fm-3m (225)
- energy of formation from the pure elements (eV per atom) = 1.235

Lattice parameters (Å, degrees): 4.8036 4.8036 4.8036 60.00 60.00 60.00
Site moments in Bohr magnetons follow the coordinates.
Element x y z (fractional)
1 Fe 0.5000 0.5000 0.5000  2.90
2 Na 0.2500 0.2500 0.2500  -0.03
3 Na 0.7500 0.7500 0.7500  -0.03
4 Mn 0.0000 0.0000 0.0000  3.97

***

(3)
Material: MnNb2Fe
Method: DFT, PBEsol
State: optimized geometry

- mass density (g/cm3) = 8.81
- space-group type = Fm-3m (225)
- energy of formation from the pure elements (eV per atom) = -0.043

Lattice parameters (Å, degrees): 4.2918 4.2918 4.2918 60.00 60.00 60.00
Site moments in Bohr magnetons follow the coordinates.
Element x y z (fractional)
1 Fe 0.5000 0.5000 0.5000  1.05
2 Mn 0.0000 0.0000 0.0000  0.17
3 Nb 0.7500 0.7500 0.7500  -0.13
4 Nb 0.2500 0.2500 0.2500  -0.13

***

(4)
Material: MnNbFe3
Method: DFT, PBEsol
State: optimized geometry

- mass density (g/cm3) = 7.73
- space-group type = Pm-3m (221)
- energy of formation from the pure elements (eV per atom) = 0.993

Lattice parameters (Å, degrees): 4.0775 4.0775 4.0775 90.00 90.00 90.00
Site moments in Bohr magnetons follow the coordinates.
Element x y z (fractional)
1 Mn 0.0000 0.0000 0.0000  -0.19
2 Fe 0.5000 0.0000 0.0000  1.09
3 Fe 0.0000 0.5000 0.0000  1.09
4 Fe 0.0000 0.0000 0.5000  1.09
5 Nb 0.5000 0.5000 0.5000  -0.38